Computed, not measured: a geometry-optimized Ca3SiTe structure at the GGA-PBEsol level of DFT.

- DOS(E_F): 0.2 states/eV/cell
- V: 36.01 A^3/atom
- Electronic total energy: -3.35 eV/atom
- Formation energy from raw total energies: -1.05 eV/f.u.
- Magnetization: 0.0000 μB per atom

Unit cell a=5.6469 b=5.6469 c=5.6469 alpha=90.00 beta=90.00 gamma=90.00
Element x y z (fractional)
Ca 0.0000 0.0000 0.5000
Ca 0.0000 0.5000 0.0000
Ca 0.5000 0.0000 0.0000
Si 0.5000 0.5000 0.5000
Te 0.0000 0.0000 0.0000